Crystalline HoLuSiNi at its relaxed geometry. Source: Alexandria, functional PBE.

Formation energy without anion corrections, eV/f.u.: -2.0

Unit cell a=4.814 b=4.814 c=4.814 alpha=60.00 beta=60.00 gamma=60.00
Fractional positions:
Ho 0.000 0.000 0.000
Ni 0.250 0.250 0.250
Si 0.750 0.750 0.750
Lu 0.500 0.500 0.500

---

Crystalline Ni6PdPt8 at its relaxed geometry. Source: Alexandria, functional PBE.

Formation enthalpy at 0 K, eV/atom: 0.114

Unit cell a=2.757 b=9.517 c=9.517 alpha=120.00 beta=90.00 gamma=90.00
Each line ends with the local moment (μB).
Fractional positions:
Pt 0.231 0.915 0.224  0.35
Pd 0.500 0.000 0.000  0.19
Pt 0.231 0.309 0.085  0.35
Pt 0.769 0.085 0.776  0.35
Pt 0.231 0.776 0.691  0.35
Pt 0.244 0.333 0.667  0.43
Ni 0.257 0.481 0.390  0.88
Ni 0.257 0.610 0.091  0.88
Ni 0.743 0.519 0.610  0.88
Pt 0.769 0.691 0.915  0.35
Pt 0.769 0.224 0.309  0.35
Ni 0.743 0.091 0.481  0.88
Pt 0.756 0.667 0.333  0.43
Ni 0.257 0.909 0.519  0.88
Ni 0.743 0.390 0.909  0.88

---

Crystalline Tm4AgIrAu2 at its relaxed geometry. Source: Alexandria, functional PBE.

Formation enthalpy at 0 K, eV/atom: -0.779

Unit cell a=4.981 b=4.981 c=8.608 alpha=73.18 beta=73.18 gamma=60.00
Fractional positions:
Au 0.742 0.742 0.773
Tm 0.131 0.131 0.608
Ir 0.500 0.500 0.500
Tm 0.618 0.618 0.145
Au 0.258 0.258 0.227
Ag 0.000 0.000 0.000
Tm 0.382 0.382 0.855
Tm 0.869 0.869 0.392

---

Crystalline Li15AlIn4 at its relaxed geometry. Source: Alexandria, functional PBE.

Formation enthalpy at 0 K, eV/atom: -0.164

Unit cell a=4.023 b=4.023 c=22.752 alpha=90.00 beta=90.00 gamma=90.00
Fractional positions:
Li 0.000 0.500 0.298
Li 0.000 0.500 0.500
Li 0.000 0.500 0.702
Li 0.000 0.500 0.904
Al 0.000 0.000 0.000
Li 0.500 0.000 0.500
Li 0.500 0.500 0.197
In 0.000 0.000 0.399
Li 0.500 0.500 0.399
Li 0.500 0.000 0.702
Li 0.500 0.500 0.803
In 0.000 0.000 0.803
Li 0.500 0.000 0.904
Li 0.000 0.500 0.096
Li 0.500 0.000 0.298
In 0.000 0.000 0.601
Li 0.500 0.500 0.601
In 0.000 0.000 0.197
Li 0.500 0.000 0.096
Li 0.500 0.500 0.000

---

Crystalline Ba2AcHfO6 at its relaxed geometry. Source: Alexandria, functional PBE.

Formation energy without anion corrections, eV/f.u.: -29.0

Unit cell a=6.322 b=6.322 c=6.322 alpha=60.01 beta=60.01 gamma=90.00
Each line ends with the local moment (μB).
Fractional positions:
Hf 0.000 0.000 0.000  0.01
O 0.768 0.768 0.000  0.03
O 0.768 0.232 0.000  0.03
O 0.232 0.768 0.000  0.03
O 0.232 0.232 0.000  0.03
Ac 0.500 0.500 0.000  0.03
Ba 0.750 0.250 0.500  0.00
O 0.232 0.232 0.535  0.09
O 0.768 0.768 0.465  0.09
Ba 0.250 0.750 0.500  0.00

---

Crystalline Sm8Y6Tm at its relaxed geometry. Source: Alexandria, functional PBE.

Formation enthalpy at 0 K, eV/atom: 0.168

Unit cell a=6.552 b=9.412 c=9.412 alpha=120.00 beta=90.00 gamma=90.00
Fractional positions:
Y 0.340 0.092 0.437
Sm 0.166 0.964 0.717
Sm 0.124 0.667 0.333
Sm 0.166 0.753 0.036
Sm 0.166 0.283 0.247
Sm 0.834 0.036 0.283
Y 0.660 0.656 0.092
Y 0.660 0.437 0.344
Tm 0.500 0.000 0.000
Sm 0.834 0.247 0.964
Y 0.340 0.563 0.656
Sm 0.834 0.717 0.753
Y 0.340 0.344 0.908
Sm 0.876 0.333 0.667
Y 0.660 0.908 0.563

---

Number 1: V 78.9 Å³/cell, DOS at the Fermi energy 0.31 states/eV/atom. Number 2: V 216.2 Å³/cell, DOS at the Fermi energy 1.70 states/eV/atom. Number 3: V 174.3 Å³/cell, DOS at the Fermi energy 0.66 states/eV/atom. Number 4: V 368.2 Å³/cell, DOS at the Fermi energy 0.35 states/eV/atom. Number 5: V 178.7 Å³/cell, DOS at the Fermi energy 0.72 states/eV/atom. Number 6: V 502.7 Å³/cell, DOS at the Fermi energy 1.60 states/eV/atom.